The following is a DFT calculation (PBE+U) of crystalline BaTlWO4 at its relaxed geometry.

total magnetization = 0.00 μB/f.u.
E_tot = -6.3487 eV/atom
space-group type = P2_1/m, No. 11

Cell: 7.177 5.991 9.088 Å, 90.00 101.46 90.00°
Atoms (fractional coordinates):
Ba 0.230 0.250 0.119
Ba 0.770 0.750 0.881
Tl 0.064 0.750 0.453
Tl 0.936 0.250 0.547
W 0.270 0.750 0.871
W 0.730 0.250 0.129
O 0.113 0.511 0.874
O 0.113 0.989 0.874
O 0.403 0.750 0.721
O 0.444 0.750 0.045
O 0.556 0.250 0.955
O 0.597 0.250 0.279
O 0.887 0.011 0.126
O 0.887 0.489 0.126